## Er5Tl2Bi2 (GGA-PBE)

Data for a geometry-optimized Er5Tl2Bi2 structure.

a b c (Å): 8.8336 8.8336 8.1671
angles (deg): 90.00 90.00 55.03
Last column: nearest neighbours and their distance in Å.
Fractional coordinates of all 18 atoms:
1 Er 0.0000 0.0000 0.0000  4 Tl 3.17-3.18, 2 Bi 3.22
2 Er 0.0338 0.7005 0.6648  3 Tl 3.10-3.24, 3 Bi 3.18-3.26
3 Er 0.2005 0.5338 0.1648  3 Tl 3.10-3.24, 3 Bi 3.18-3.26
4 Er 0.2995 0.9662 0.6648  3 Tl 3.10-3.24, 3 Bi 3.18-3.26
5 Er 0.4662 0.7995 0.1648  3 Tl 3.10-3.24, 3 Bi 3.18-3.26
6 Er 0.5000 0.5000 0.5000  4 Tl 3.17-3.18, 2 Bi 3.22
7 Er 0.5338 0.2005 0.8352  3 Tl 3.10-3.24, 3 Bi 3.18-3.26
8 Er 0.7005 0.0338 0.3352  3 Tl 3.10-3.24, 3 Bi 3.18-3.26
9 Er 0.7995 0.4662 0.8352  3 Tl 3.10-3.24, 3 Bi 3.18-3.26
10 Er 0.9662 0.2995 0.3352  3 Tl 3.10-3.24, 3 Bi 3.18-3.26
11 Tl 0.1353 0.8647 0.3657  8 Er 3.10-3.24, 1 Tl 3.11
12 Tl 0.3647 0.6353 0.8657  8 Er 3.10-3.24, 1 Tl 3.11
13 Tl 0.6353 0.3647 0.1343  8 Er 3.10-3.24, 1 Tl 3.11
14 Tl 0.8647 0.1353 0.6343  8 Er 3.10-3.24, 1 Tl 3.11
15 Bi 0.2053 0.2053 0.0000  7 Er 3.18-3.26
16 Bi 0.2947 0.2947 0.5000  7 Er 3.18-3.26
17 Bi 0.7053 0.7053 0.5000  7 Er 3.18-3.26
18 Bi 0.7947 0.7947 0.0000  7 Er 3.18-3.26

Values from the calculation:
Offset from the most stable computed form, eV/f.u.: 0.00
Energy relative to the elements, kcal/mol of atoms: -12.74